No. 1
ScGa2Ag2: relaxed, PBE-GGA.

Output
Energy relative to the lowest polymorph listed for this composition   157 meV per atom
Energy of formation from the pure elements   -0.098 eV/atom

Cell lengths 7.8380, 7.8380, 3.0299 Å; angles 90.00, 90.00, 90.00 degrees
With the nearest neighbours (Å) after each atom.
Fractional coordinates of all 10 atoms:
Sc 0.0000 0.0000 0.0000  2 Sc 3.03, 4 Ag 3.09, 8 Ga 3.27
Sc 0.5000 0.5000 0.0000  2 Sc 3.03, 4 Ag 3.09, 8 Ga 3.27
Ga 0.1738 0.3262 0.5000  6 Ag 2.68-2.82
Ga 0.3262 0.8262 0.5000  6 Ag 2.68-2.82
Ga 0.6738 0.1738 0.5000  6 Ag 2.68-2.82
Ga 0.8262 0.6738 0.5000  6 Ag 2.68-2.82
Ag 0.1265 0.6265 0.0000  6 Ga 2.68-2.82, 1 Ag 2.80
Ag 0.3735 0.1265 0.0000  6 Ga 2.68-2.82, 1 Ag 2.80
Ag 0.6265 0.8735 0.0000  6 Ga 2.68-2.82, 1 Ag 2.80
Ag 0.8735 0.3735 0.0000  6 Ga 2.68-2.82, 1 Ag 2.80

***

No. 2
ScZn: relaxed, PBE-GGA.

Output
Energy of formation from the pure elements   -0.060 eV/atom

Cell lengths 3.2131, 3.2131, 4.5404 Å; angles 90.00, 90.00, 120.00 degrees
With the nearest neighbours (Å) after each atom.
Fractional coordinates of all 2 atoms:
Sc 0.0000 0.0000 0.0000  6 Zn 2.93, 6 Sc 3.21
Zn 0.3333 0.6667 0.5000  6 Sc 2.93, 6 Zn 3.21

***

No. 3
InAs2Au2: relaxed, PBE-GGA.

Output
Energy relative to the lowest polymorph listed for this composition   59 meV per atom
Energy of formation from the pure elements   0.158 eV/atom

Cell lengths 8.4180, 8.4180, 2.9468 Å; angles 90.00, 90.00, 90.00 degrees
With the nearest neighbours (Å) after each atom.
Fractional coordinates of all 10 atoms:
In 0.0000 0.0000 0.0000  2 In 2.95, 4 Au 3.17
In 0.5000 0.5000 0.0000  2 In 2.95, 4 Au 3.17
As 0.1401 0.3599 0.5000  6 Au 2.80-2.93, 2 As 2.95
As 0.3599 0.8599 0.5000  6 Au 2.80-2.93, 2 As 2.95
As 0.6401 0.1401 0.5000  6 Au 2.80-2.93, 2 As 2.95
As 0.8599 0.6401 0.5000  6 Au 2.80-2.93, 2 As 2.95
Au 0.1595 0.6595 0.0000  6 As 2.80-2.93, 2 Au 2.95
Au 0.3405 0.1595 0.0000  6 As 2.80-2.93, 2 Au 2.95
Au 0.6595 0.8405 0.0000  6 As 2.80-2.93, 2 Au 2.95
Au 0.8405 0.3405 0.0000  6 As 2.80-2.93, 2 Au 2.95

***

No. 4
Te2AsN2: relaxed, PBE-GGA.

Output
Energy relative to the lowest polymorph listed for this composition   0 meV per atom
Uncorrected formation energy   0.06 eV per atom

Cell lengths 3.8468, 3.8468, 12.7347 Å; angles 95.19, 95.19, 59.89 degrees
With the nearest neighbours (Å) after each atom.
Fractional coordinates of all 5 atoms:
Te 0.1953 0.1953 0.1421  3 As 2.86
Te 0.8047 0.8047 0.8579  3 As 2.86
As 0.5000 0.5000 0.0000  6 Te 2.86
N 0.4392 0.4392 0.4665  1 N 1.11
N 0.5608 0.5608 0.5335  1 N 1.11